This record from Alexandria via LeMat-Bulk describes an optimized crystal structure of Sr2TlAs2. The functional is GGA-PBE.

Space-group type ... No. 139
Total magnetic moment ... 0.00 μB/f.u.
ΔH_f (0 K) ... -51 kJ per mole of atoms

Geometry as POSCAR:
```
Sr2TlAs2
1.0
-2.719 2.719 5.641
2.719 -2.719 5.641
2.719 2.719 -5.641
Sr Tl As
2 1 2
direct
0.250 0.750 0.500
0.750 0.250 0.500
0.000 0.000 0.000
0.387 0.387 0.000
0.613 0.613 0.000
```



This record from Alexandria via LeMat-Bulk describes an optimized crystal structure of LaPrAlO4. The functional is GGA-PBE.

Space-group type ... No. 107
Total magnetic moment ... 0.42 μB/f.u.

Geometry as POSCAR:
```
LaPrAlO4
1.0
-1.883 1.883 6.334
1.883 -1.883 6.334
1.883 1.883 -6.334
La Pr Al O
1 1 1 4
direct
0.000 0.000 0.000
0.703 0.703 0.000
0.351 0.351 0.000
0.195 0.195 0.000
0.352 0.852 0.500
0.511 0.511 0.000
0.852 0.352 0.500
```



This record from Alexandria via LeMat-Bulk describes an optimized crystal structure of K2RbCdAs. The functional is GGA-PBE.

Space-group type ... No. 123
Total magnetic moment ... 0.67 μB/f.u.
ΔH_f (0 K) ... -12 kJ per mole of atoms

Geometry as POSCAR:
```
K2RbCdAs
1.0
6.579 0.000 0.000
0.000 6.579 0.000
0.000 0.000 5.487
K Rb Cd As
2 1 1 1
direct
0.000 0.500 0.000
0.500 0.000 0.000
0.000 0.000 0.500
0.500 0.500 0.500
0.500 0.500 0.000
```



no.,DFT total energy (eV/atom),V (A^3/atom)
1,-3.533,33.4
2,-7.813,12.8
3,-1.868,47.5